# TlHgSb2, optimized geometry, DFT GGA-PBE
# energy relative to the lowest polymorph listed for this composition = 107.4 meV per atom
# crystal system = trigonal
# formation energy (no corrections) = 147 meV per atom
data_TlHgSb2
_chemical_formula_sum 'Tl1 Hg1 Sb2'
_cell_length_a 10.955
_cell_length_b 10.955
_cell_length_c 10.955
_cell_angle_alpha 18.27
_cell_angle_beta 18.27
_cell_angle_gamma 18.27
_space_group_name_H-M_alt 'P 1'
_space_group_IT_number 1
loop_
_space_group_symop_operation_xyz
'x,y,z'
loop_
_atom_site_label
_atom_site_type_symbol
_atom_site_fract_x
_atom_site_fract_y
_atom_site_fract_z
_atom_site_occupancy
Tl1 Tl 0.250 0.250 0.250 1
Hg1 Hg 0.750 0.750 0.750 1
Sb1 Sb 0.008 0.008 0.008 1
Sb2 Sb 0.492 0.492 0.492 1